Pm2Sm3Er6Sc | GGA-PBE | relaxed

Calculated values
symmetry: No. 12
crystal system: monoclinic
ΔH_f (0 K): 0.0258 eV/atom
calculated total energy: -4.755 eV per atom
theoretical density: 7.91 g/cm³

Cell lengths 6.1336, 6.1336, 11.7099 Å; angles 95.00, 95.00, 119.99 degrees
Positions (direct):
Sm (0.8334, 0.1666, 0.5000)
Sm (0.5000, 0.5000, 0.5000)
Sm (0.1666, 0.8334, 0.5000)
Er (0.0822, 0.4128, 0.2477)
Er (0.4128, 0.0822, 0.2477)
Er (0.9178, 0.5872, 0.7523)
Er (0.2483, 0.2483, 0.7519)
Er (0.5872, 0.9178, 0.7523)
Er (0.7517, 0.7517, 0.2481)
Sc (0.0000, 0.0000, 0.0000)
Pm (0.3337, 0.6663, 0.0000)
Pm (0.6663, 0.3337, 0.0000)